VASP calculation (PBE) on an optimized crystal structure of NiMo4C3.

The total energy is -9.4365 eV per atom. The value obtained for the magnetic moment is 0.01 μB per cell.

Geometry as CIF:
```
data_NiMo4C3
_space_group_name_H-M_alt 'P 63/m m c'
_space_group_IT_number 194
_space_group_name_Hall '-P 6c 2c'
_cell_length_a 3.0933
_cell_length_b 3.0933
_cell_length_c 22.5392
_cell_angle_alpha 90.00
_cell_angle_beta 90.00
_cell_angle_gamma 120.00
loop_
_atom_site_label
_atom_site_type_symbol
_atom_site_fract_x
_atom_site_fract_y
_atom_site_fract_z
_atom_site_occupancy
Ni1 Ni 0.3333 0.6667 0.2500 1
Mo1 Mo 0.0000 0.0000 0.1606 1
Mo2 Mo 0.3333 0.6667 0.0591 1
C1 C 0.0000 0.0000 0.0000 1
C2 C 0.3333 0.6667 0.6153 1
```

***

VASP calculation (PBE) on an optimized crystal structure of Nb3Tl2Br9.

The total energy is -4.4644 eV per atom. The value obtained for the magnetic moment is 0.01 μB per cell.

Geometry as CIF:
```
data_Nb3Tl2Br9
_space_group_name_H-M_alt 'C 1 2/m 1'
_space_group_IT_number 12
_cell_length_a 11.233
_cell_length_b 16.512
_cell_length_c 10.188
_cell_angle_alpha 90.00
_cell_angle_beta 117.48
_cell_angle_gamma 90.00
loop_
_space_group_symop_operation_xyz
'x,y,z'
'-x,-y,-z'
'-x,y,-z'
'x,-y,z'
'x+1/2,y+1/2,z'
'-x+1/2,-y+1/2,-z'
'-x+1/2,y+1/2,-z'
'x+1/2,-y+1/2,z'
loop_
_atom_site_label
_atom_site_type_symbol
_atom_site_fract_x
_atom_site_fract_y
_atom_site_fract_z
_atom_site_occupancy
Nb1 Nb 0.104 0.000 0.372 1
Nb2 Nb 0.130 0.090 0.638 1
Tl1 Tl 0.101 0.345 0.837 1
Br1 Br 0.000 0.220 0.500 1
Br2 Br 0.033 0.110 0.824 1
Br3 Br 0.178 0.500 0.162 1
Br4 Br 0.195 0.288 0.175 1
Br5 Br 0.216 0.389 0.488 1
Br6 Br 0.245 0.000 0.204 1
```

***

VASP calculation (PBE) on an optimized crystal structure of LaTbOs.

The value obtained for the magnetic moment is 0.01 μB per cell. As for the formation energy: 760 meV per atom.

Geometry as CIF:
```
data_LaTbOs
_space_group_name_H-M_alt 'F -4 3 m'
_space_group_IT_number 216
_space_group_name_Hall 'F -4 2 3'
_cell_length_a 6.731
_cell_length_b 6.731
_cell_length_c 6.731
_cell_angle_alpha 90.00
_cell_angle_beta 90.00
_cell_angle_gamma 90.00
loop_
_atom_site_label
_atom_site_type_symbol
_atom_site_fract_x
_atom_site_fract_y
_atom_site_fract_z
_atom_site_occupancy
La1 La 0.000 0.000 0.000 1
Tb1 Tb 0.250 0.250 0.250 1
Os1 Os 0.250 0.250 0.750 1
```

***

VASP calculation (PBE) on an optimized crystal structure of HoScPd.

The value obtained for the magnetic moment is 0.04 μB per cell. As for the energy above the most stable polymorph in this dataset: 0 meV per atom. As for the formation energy: -467 meV per atom.

Geometry as CIF:
```
data_HoScPd
_space_group_name_H-M_alt 'F -4 3 m'
_space_group_IT_number 216
_space_group_name_Hall 'F -4 2 3'
_cell_length_a 6.673
_cell_length_b 6.673
_cell_length_c 6.673
_cell_angle_alpha 90.00
_cell_angle_beta 90.00
_cell_angle_gamma 90.00
loop_
_atom_site_label
_atom_site_type_symbol
_atom_site_fract_x
_atom_site_fract_y
_atom_site_fract_z
_atom_site_occupancy
Ho1 Ho 0.000 0.000 0.000 1
Sc1 Sc 0.000 0.000 0.500 1
Pd1 Pd 0.250 0.250 0.250 1
```